[1]
Entry from Alexandria: a crystal of LiBeAs2 relaxed with PBEsol (meta-GGA SCAN).

Cell and atoms, written as POSCAR:
```
LiBeAs2
1.0
3.338 0.000 0.000
0.000 3.338 0.000
0.000 0.000 5.652
Li Be As
1 1 2
direct
0.000 0.000 0.000 Li
0.500 0.500 0.604 Be
0.000 0.000 0.542 As
0.500 0.500 0.204 As
```

Summary:
The formation energy from the elements is 0.08 eV per atom. As for the energy above the most stable polymorph in this dataset: 358 meV/atom. The calculation puts the size of the total moment at 0.0 μB/f.u. The density of states at the Fermi level is 0.242 states/eV/atom.



[2]
Entry from Alexandria: a crystal of LiBe2As relaxed with PBEsol (meta-GGA SCAN).

Cell and atoms, written as POSCAR:
```
LiBe2As
1.0
2.611 0.000 0.000
0.000 3.390 0.000
0.000 0.000 5.640
Li Be As
1 2 1
direct
0.000 0.000 0.000 Li
0.000 0.000 0.568 Be
0.500 0.500 0.708 Be
0.500 0.500 0.302 As
```

Summary:
The formation energy from the elements is 0.11 eV per atom. As for the energy above the most stable polymorph in this dataset: 65 meV/atom. The calculation puts the size of the total moment at 0.0 μB/f.u. The density of states at the Fermi level is 0.182 states/eV/atom.



[3]
Entry from Alexandria: a crystal of LiBeAs2 relaxed with PBEsol (meta-GGA SCAN).

Cell and atoms, written as POSCAR:
```
LiBeAs2
1.0
0.000 3.100 3.100
3.100 0.000 3.100
3.100 3.100 0.000
Li Be As
1 1 2
direct
0.000 0.000 0.000 Li
0.500 0.500 0.500 Be
0.250 0.250 0.250 As
0.750 0.750 0.750 As
```

Summary:
The formation energy from the elements is 0.10 eV per atom. As for the energy above the most stable polymorph in this dataset: 373 meV/atom. The calculation puts the size of the total moment at 0.0 μB/f.u. The density of states at the Fermi level is 0.377 states/eV/atom.



[4]
Entry from Alexandria: a crystal of LiBeAs relaxed with PBEsol (meta-GGA SCAN).

Cell and atoms, written as POSCAR:
```
LiBeAs
1.0
0.000 2.722 2.722
2.722 0.000 2.722
2.722 2.722 0.000
Li Be As
1 1 1
direct
0.000 0.000 0.000 Li
0.250 0.250 0.250 Be
0.750 0.750 0.750 As
```

Summary:
The formation energy from the elements is 0.09 eV per atom. The calculation puts the size of the total moment at 0.0 μB/f.u. The density of states at the Fermi level is 0.287 states/eV/atom.



[5]
Entry from Alexandria: a crystal of LiBeAs2 relaxed with PBEsol (meta-GGA SCAN).

Cell and atoms, written as POSCAR:
```
LiBeAs2
1.0
-2.043 2.043 3.531
2.043 -2.043 3.531
2.043 2.043 -3.531
Li Be As
1 1 2
direct
0.000 0.000 0.000 Li
0.500 0.500 0.000 Be
0.250 0.750 0.500 As
0.750 0.250 0.500 As
```

Summary:
The formation energy from the elements is 0.05 eV per atom. As for the energy above the most stable polymorph in this dataset: 319 meV/atom. The calculation puts the size of the total moment at 0.0 μB/f.u. The density of states at the Fermi level is 0.326 states/eV/atom.



[6]
Entry from Alexandria: a crystal of LiBe2As relaxed with PBEsol (meta-GGA SCAN).

Cell and atoms, written as POSCAR:
```
LiBe2As
1.0
2.643 0.000 0.000
0.000 4.236 0.000
-0.658 0.000 4.344
Li Be As
1 2 1
direct
0.000 0.000 0.000 Li
0.365 0.500 0.227 Be
0.635 0.500 0.773 Be
0.500 0.000 0.500 As
```

Summary:
The formation energy from the elements is 0.10 eV per atom. As for the energy above the most stable polymorph in this dataset: 51 meV/atom. The calculation puts the size of the total moment at 0.0 μB/f.u. The density of states at the Fermi level is 0.259 states/eV/atom.



- Look up the formation energy from the elements of the sixth one.
  0.10 eV per atom